No. 1
Entry from the Alexandria database: a relaxed structure of PuMgAlAu (PBE-GGA).

Results
The energy relative to the elements is -0.28 eV per atom.

Cell: 4.936 4.936 4.936 Å, 60.00 60.00 60.00°
Positions (direct):
Au  0.750  0.750  0.750
Pu  0.500  0.500  0.500
Al  0.250  0.250  0.250
Mg  0.000  0.000  0.000

=====

No. 2
Entry from the Alexandria database: a relaxed structure of PuMgAl2Au4 (PBE-GGA).

Results
The energy relative to the elements is -0.46 eV per atom.

Cell: 4.512 4.512 9.131 Å, 75.70 75.70 60.00°
Positions (direct):
Al  0.757  0.757  0.729
Au  0.605  0.605  0.186
Au  0.130  0.130  0.611
Al  0.243  0.243  0.271
Mg  0.500  0.500  0.500
Pu  0.000  0.000  0.000
Au  0.395  0.395  0.814
Au  0.870  0.870  0.389

=====

No. 3
Entry from the Alexandria database: a relaxed structure of PuMg2AlAu4 (PBE-GGA).

Results
The energy relative to the elements is -0.46 eV per atom.

Cell: 4.569 4.569 9.181 Å, 75.59 75.59 60.00°
Positions (direct):
Al  0.500  0.500  0.500
Mg  0.759  0.759  0.723
Au  0.868  0.868  0.397
Pu  0.000  0.000  0.000
Au  0.132  0.132  0.603
Mg  0.241  0.241  0.277
Au  0.604  0.604  0.188
Au  0.396  0.396  0.812

=====

No. 4
Entry from the Alexandria database: a relaxed structure of Pu2MgAlAu6 (PBE-GGA).

Results
The energy relative to the elements is -0.10 eV per atom.

Cell: 6.972 6.972 6.974 Å, 59.96 59.96 89.94°
Positions (direct):
Al  0.000  0.000  0.000
Au  0.754  0.754  0.000
Au  0.246  0.246  0.000
Pu  0.250  0.750  0.500
Au  0.246  0.754  0.000
Au  0.246  0.246  0.508
Pu  0.750  0.250  0.500
Au  0.754  0.754  0.492
Au  0.754  0.246  0.000
Mg  0.500  0.500  0.000

=====

No. 5
Entry from the Alexandria database: a relaxed structure of MgAl2RhAu (PBE-GGA).

Results
The energy relative to the elements is 0.44 eV per atom.

Cell: 4.662 5.233 4.662 Å, 90.00 90.00 90.00°
Positions (direct):
Al  0.500  0.000  0.000
Au  0.000  0.000  0.000
Al  0.000  0.000  0.500
Mg  0.500  0.500  0.500
Rh  0.000  0.500  0.000

=====

No. 6
Entry from the Alexandria database: a relaxed structure of MgAlRuAu (PBE-GGA).

Results
The energy relative to the elements is -0.40 eV per atom.

Cell: 4.413 4.413 4.413 Å, 60.00 60.00 60.00°
Positions (direct):
Ru  0.000  0.000  0.000
Mg  0.250  0.250  0.250
Au  0.500  0.500  0.500
Al  0.750  0.750  0.750

=====

No. 7
Entry from the Alexandria database: a relaxed structure of MgScAl2Au4 (PBE-GGA).

Results
The energy relative to the elements is -0.58 eV per atom.

Cell: 4.627 4.627 8.042 Å, 73.28 73.28 60.00°
Positions (direct):
Au  0.874  0.874  0.379
Au  0.126  0.126  0.621
Sc  0.000  0.000  0.000
Au  0.623  0.623  0.132
Al  0.251  0.251  0.247
Au  0.377  0.377  0.868
Al  0.749  0.749  0.753
Mg  0.500  0.500  0.500

=====

No. 8
Entry from the Alexandria database: a relaxed structure of MgSc2AlAu4 (PBE-GGA).

Results
The energy relative to the elements is -0.73 eV per atom.

Cell: 4.701 4.701 8.138 Å, 73.21 73.21 60.00°
Positions (direct):
Au  0.377  0.377  0.869
Sc  0.249  0.249  0.252
Al  0.500  0.500  0.500
Au  0.126  0.126  0.623
Mg  0.000  0.000  0.000
Au  0.623  0.623  0.131
Sc  0.751  0.751  0.748
Au  0.874  0.874  0.377

=====

No. 9
Entry from the Alexandria database: a relaxed structure of MgScAl2Au2 (PBE-GGA).

Results
The energy relative to the elements is -0.60 eV per atom.

Cell: 4.485 4.485 6.243 Å, 90.00 90.00 120.00°
Positions (direct):
Al  0.667  0.333  0.251
Au  0.333  0.667  0.246
Al  0.333  0.667  0.749
Sc  0.000  0.000  0.000
Au  0.667  0.333  0.754
Mg  0.000  0.000  0.500

=====

No. 10
Entry from the Alexandria database: a relaxed structure of Mg2AlAuSe4 (PBE-GGA).

Results
For the formation energy without anion corrections, the calculation gives -0.88 eV/atom.

Cell: 6.006 6.006 7.146 Å, 114.85 114.85 89.99°
Positions (direct):
Se  0.611  0.611  0.757
Se  0.390  0.853  0.243
Mg  0.250  0.750  0.500
Se  0.146  0.146  0.757
Au  0.001  0.001  0.002
Se  0.853  0.390  0.243
Al  0.500  0.500  0.999
Mg  0.750  0.250  0.500

=====

No. 11
Entry from the Alexandria database: a relaxed structure of SmMgAlAu2 (PBE-GGA).

Results
The energy relative to the elements is -0.66 eV per atom.

Cell: 4.188 4.188 6.784 Å, 107.98 107.98 90.00°
Positions (direct):
Al  0.750  0.250  0.500
Au  0.614  0.614  0.228
Mg  0.250  0.750  0.500
Au  0.386  0.386  0.772
Sm  0.000  0.000  0.000

=====

No. 12
Entry from the Alexandria database: a relaxed structure of SmMgAl2Au2 (PBE-GGA).

Results
The energy relative to the elements is -0.64 eV per atom.

Cell: 4.462 4.462 7.061 Å, 90.00 90.00 120.00°
Positions (direct):
Al  0.667  0.333  0.294
Au  0.667  0.333  0.712
Al  0.333  0.667  0.706
Mg  0.000  0.000  0.500
Au  0.333  0.667  0.288
Sm  0.000  0.000  0.000

=====

No. 13
Entry from the Alexandria database: a relaxed structure of SmMgAlAu (PBE-GGA).

Results
The energy relative to the elements is -0.50 eV per atom.

Cell: 4.971 4.971 4.971 Å, 60.00 60.00 60.00°
Positions (direct):
Mg  0.250  0.250  0.250
Au  0.000  0.000  0.000
Sm  0.750  0.750  0.750
Al  0.500  0.500  0.500

=====

No. 14
Entry from the Alexandria database: a relaxed structure of Sm2MgAl3Au4 (PBE-GGA).

Results
The energy relative to the elements is -0.69 eV per atom.

Cell: 4.435 4.435 10.588 Å, 90.00 90.00 90.00°
Positions (direct):
Au  0.500  0.000  0.638
Al  0.000  0.000  0.500
Au  0.000  0.000  0.000
Sm  0.000  0.500  0.760
Al  0.000  0.500  0.128
Au  0.500  0.500  0.000
Sm  0.500  0.000  0.240
Au  0.000  0.500  0.362
Al  0.500  0.000  0.872
Mg  0.500  0.500  0.500

=====

No. 15
Entry from the Alexandria database: a relaxed structure of SmMgAl2Au4 (PBE-GGA).

Results
The energy relative to the elements is -0.60 eV per atom.

Cell: 4.499 4.499 9.181 Å, 75.82 75.82 60.00°
Positions (direct):
Au  0.131  0.131  0.608
Mg  0.500  0.500  0.500
Al  0.242  0.242  0.275
Al  0.758  0.758  0.725
Au  0.396  0.396  0.813
Au  0.604  0.604  0.187
Au  0.869  0.869  0.392
Sm  0.000  0.000  0.000

=====

No. 16
Entry from the Alexandria database: a relaxed structure of SmMgAlAu3 (PBE-GGA).

Results
The energy relative to the elements is -0.42 eV per atom.

Cell: 6.712 6.316 7.018 Å, 116.74 90.00 90.00°
Positions (direct):
Sm  0.250  0.684  0.367
Mg  0.750  0.637  0.273
Al  0.750  0.070  0.140
Al  0.250  0.930  0.860
Au  0.000  0.725  0.000
Au  0.500  0.275  0.000
Sm  0.750  0.316  0.633
Au  0.250  0.155  0.310
Mg  0.250  0.363  0.727
Au  0.500  0.725  0.000
Au  0.750  0.845  0.690
Au  0.000  0.275  0.000

=====

No. 17
Entry from the Alexandria database: a relaxed structure of SmMgAl2Au5 (PBE-GGA).

Results
The energy relative to the elements is -0.44 eV per atom.

Cell: 4.801 4.801 8.037 Å, 90.00 90.00 90.00°
Positions (direct):
Au  0.000  0.500  0.741
Au  0.500  0.000  0.259
Au  0.000  0.500  0.259
Sm  0.000  0.000  0.500
Au  0.500  0.500  0.500
Au  0.500  0.000  0.741
Al  0.500  0.500  0.842
Mg  0.000  0.000  0.000
Al  0.500  0.500  0.158

=====

No. 18
Entry from the Alexandria database: a relaxed structure of Mg2AlSnAu4 (PBE-GGA).

Results
The energy relative to the elements is -0.41 eV per atom.

Cell: 4.690 4.690 8.262 Å, 73.51 73.51 60.00°
Positions (direct):
Au  0.614  0.614  0.158
Al  0.500  0.500  0.500
Au  0.386  0.386  0.842
Mg  0.252  0.252  0.244
Mg  0.748  0.748  0.756
Au  0.866  0.866  0.403
Sn  0.000  0.000  0.000
Au  0.134  0.134  0.597

=====

No. 19
Entry from the Alexandria database: a relaxed structure of MgAlSnAu2 (PBE-GGA).

Results
The energy relative to the elements is 0.45 eV per atom.

Cell: 4.956 5.067 4.956 Å, 90.00 90.00 90.00°
Positions (direct):
Sn  0.500  0.500  0.500
Au  0.500  0.000  0.000
Al  0.000  0.500  0.000
Au  0.000  0.000  0.500
Mg  0.000  0.000  0.000

=====

No. 20
Entry from the Alexandria database: a relaxed structure of SrMgAlAu2 (PBE-GGA).

Results
The energy relative to the elements is -0.64 eV per atom.

Cell: 4.381 4.381 6.749 Å, 108.94 108.94 90.00°
Positions (direct):
Au  0.380  0.380  0.759
Mg  0.750  0.250  0.500
Sr  0.000  0.000  0.000
Al  0.250  0.750  0.500
Au  0.620  0.620  0.241

=====

Volume values, unit Å³/f.u., following the record order: 85.0, 154.3, 159.0, 239.5, 113.7, 60.8, 140.6, 146.9, 108.7, 207.3, 107.0, 121.8, 86.8, 208.2, 154.4, 132.8, 185.2, 148.7, 124.5, 115.1.